1.
Entry from Alexandria: crystalline Hf2TiAs at its relaxed geometry (PBE).

Results
- calculated volume (Å³/atom) = 20.56
- VASP energy (Ha/atom) = -0.30710
- energy relative to the elements (eV per atom) = -0.2437
- total magnetization (μB per formula unit) = 0.0

Cell and atoms, written as extended XYZ:
```
4
Lattice="1.699 0.981 8.222 -1.699 0.981 8.222 0.000 -1.962 8.222" Properties=species:S:1:pos:R:3 pbc="T T T"
Hf 0.000 0.000 5.927
Hf 0.000 0.000 18.741
Ti 0.000 0.000 0.000
As 0.000 0.000 12.334
```

=====

2.
Entry from Alexandria: crystalline Hf5Ti2As5 at its relaxed geometry (PBE).

Results
- calculated volume (Å³/atom) = 19.59
- VASP energy (Ha/atom) = -0.29921
- energy relative to the elements (eV per atom) = -0.7415
- total magnetization (μB per formula unit) = 0.0

Cell and atoms, written as extended XYZ:
```
12
Lattice="6.106 -1.825 0.000 6.106 1.825 0.000 -3.485 0.000 10.550" Properties=species:S:1:pos:R:3 pbc="T T T"
Hf 0.000 0.000 0.000
Hf 0.109 0.000 5.802
Hf 0.037 0.000 8.958
Hf 8.690 0.000 1.591
Hf 8.618 0.000 4.748
Ti 3.314 0.000 7.478
Ti 5.413 0.000 3.072
As 1.124 0.000 3.075
As 4.372 0.000 0.854
As 4.364 0.000 5.275
As 4.355 0.000 9.696
As 7.603 0.000 7.475
```

=====

3.
Entry from Alexandria: crystalline HfTi2As at its relaxed geometry (PBE).

Results
- calculated volume (Å³/atom) = 17.66
- VASP energy (Ha/atom) = -0.30453
- energy relative to the elements (eV per atom) = -0.6886
- total magnetization (μB per formula unit) = 0.0

Cell and atoms, written as extended XYZ:
```
8
Lattice="1.765 -5.006 0.000 1.765 5.006 0.000 0.000 0.000 7.995" Properties=species:S:1:pos:R:3 pbc="T T T"
Hf 1.765 4.460 5.997
Hf 1.765 -4.460 1.999
Ti 1.765 1.375 4.317
Ti 1.765 1.375 7.676
Ti 1.765 -1.375 0.319
Ti 1.765 -1.375 3.679
As 1.765 2.708 1.999
As 1.765 -2.708 5.997
```

=====

4.
Entry from Alexandria: crystalline Hf2Ti2As at its relaxed geometry (PBE).

Results
- relative energy among the computed polymorphs (meV per atom) = 706
- calculated volume (Å³/atom) = 20.54
- VASP energy (Ha/atom) = -0.27745
- energy relative to the elements (eV per atom) = 0.5196
- total magnetization (μB per formula unit) = 0.0

Cell and atoms, written as extended XYZ:
```
5
Lattice="-1.964 1.964 6.653 1.964 -1.964 6.653 1.964 1.964 -6.653" Properties=species:S:1:pos:R:3 pbc="T T T"
Hf 1.964 0.000 3.326
Hf 0.000 1.964 3.326
Ti 0.000 0.000 1.123
Ti 0.000 0.000 12.183
As 0.000 0.000 6.653
```

=====

5.
Entry from Alexandria: crystalline HfTiAs at its relaxed geometry (PBE).

Results
- calculated volume (Å³/atom) = 17.90
- VASP energy (Ha/atom) = -0.29762
- energy relative to the elements (eV per atom) = -0.5993
- total magnetization (μB per formula unit) = 0.0

Cell and atoms, written as extended XYZ:
```
6
Lattice="0.000 4.689 4.272 2.681 0.000 4.272 2.681 4.689 0.000" Properties=species:S:1:pos:R:3 pbc="T T T"
Hf 0.000 0.000 0.000
Hf 1.341 2.344 2.136
Ti 2.681 4.689 3.018
Ti 4.022 7.033 5.154
As 2.681 4.689 5.701
As 4.022 7.033 7.837
```

=====

6.
Entry from Alexandria: crystalline HfTiAs2 at its relaxed geometry (PBE).

Results
- relative energy among the computed polymorphs (meV per atom) = 334
- calculated volume (Å³/atom) = 17.57
- VASP energy (Ha/atom) = -0.27181
- energy relative to the elements (eV per atom) = -0.6094
- total magnetization (μB per formula unit) = 0.8

Cell and atoms, written as extended XYZ:
```
4
Lattice="0.000 3.275 3.275 3.275 0.000 3.275 3.275 3.275 0.000" Properties=species:S:1:pos:R:3 pbc="T T T"
Hf 0.000 0.000 0.000
Ti 3.275 3.275 3.275
As 1.638 1.638 1.638
As 4.913 4.913 4.913
```

=====

7.
Entry from Alexandria: crystalline Hf2Ti3As2 at its relaxed geometry (PBE).

Results
- calculated volume (Å³/atom) = 17.76
- VASP energy (Ha/atom) = -0.30377
- energy relative to the elements (eV per atom) = -0.7102
- total magnetization (μB per formula unit) = 0.0

Cell and atoms, written as extended XYZ:
```
7
Lattice="5.049 -1.833 0.000 5.049 1.833 0.000 -2.567 0.000 6.717" Properties=species:S:1:pos:R:3 pbc="T T T"
Hf 0.599 0.000 1.974
Hf 6.932 0.000 4.742
Ti 3.675 0.000 0.347
Ti 3.765 0.000 3.358
Ti 3.856 0.000 6.369
As -0.194 0.000 4.786
As 7.725 0.000 1.931
```

=====

8.
Entry from Alexandria: crystalline Hf2Ti4As at its relaxed geometry (PBE).

Results
- calculated volume (Å³/atom) = 22.09
- VASP energy (Ha/atom) = -0.27637
- energy relative to the elements (eV per atom) = 0.4989
- total magnetization (μB per formula unit) = 4.2

Cell and atoms, written as extended XYZ:
```
7
Lattice="-2.304 2.304 7.279 2.304 -2.304 7.279 2.304 2.304 -7.279" Properties=species:S:1:pos:R:3 pbc="T T T"
Hf 0.000 0.000 1.865
Hf 0.000 0.000 12.693
Ti 2.304 0.000 0.000
Ti 0.000 0.000 4.785
Ti 0.000 2.304 0.000
Ti 0.000 0.000 9.773
As 0.000 0.000 7.279
```